(1)
ZnSi2Rh | Alexandria | PBE | optimized geometry; E = -0.1843 hartree per atom; density = 6.66 Mg/m³; symmetry = No. 99
1.0
3.3365 0.0000 0.0000
0.0000 3.3365 0.0000
0.0000 0.0000 5.0252
Zn Si Rh
1 2 1
Direct
0.0000 0.0000 0.0000 Zn
0.0000 0.0000 0.5009 Si
0.5000 0.5000 0.7685 Si
0.5000 0.5000 0.2867 Rh



(2)
ZrW5 | Alexandria | PBE | optimized geometry; density = 16.54 Mg/m³; symmetry = No. 65; DFT formation energy = 0.21 eV/f.u.
1.0
1.6098 -6.8666 0.0000
1.6098 6.8666 0.0000
0.0000 0.0000 4.5883
Zr W
1 5
Direct
0.0000 0.0000 0.0000 Zr
0.1667 0.8333 0.5000 W
0.3271 0.6729 0.0000 W
0.5000 0.5000 0.5000 W
0.6729 0.3271 0.0000 W
0.8333 0.1667 0.5000 W